Entry 1:
A relaxed structure of ZrSn2Rh3, computed with PBE.

a = 4.7430 Å, b = 7.5921 Å, c = 6.1518 Å
α = 89.99°, β = 89.99°, γ = 72.27°
Positions (direct):
Rh1 0.8265 0.3498 0.7515
Rh2 0.5008 0.0000 0.7462
Sn1 0.0000 0.0000 0.0000
Sn2 0.3363 0.3299 0.5000
Rh3 0.4992 0.0000 0.2538
Rh4 0.8266 0.3498 0.2485
Sn3 0.0000 0.0000 0.5000
Zr1 0.6614 0.6753 0.0000
Zr2 0.3386 0.3247 0.0000
Sn4 0.6637 0.6701 0.5000
Rh5 0.1734 0.6502 0.7515
Rh6 0.1735 0.6502 0.2485

ΔE_f	-0.5777	eV per atom
density of states at the Fermi level	0.6841	states/eV/atom

Entry 2:
A relaxed structure of ZrSn3Rh, computed with PBE.

a = 5.0813 Å, b = 5.0813 Å, c = 5.0813 Å
α = 90.00°, β = 90.00°, γ = 90.00°
Positions (direct):
Rh1 0.0000 0.0000 0.0000
Sn1 0.0000 0.5000 0.0000
Sn2 0.0000 0.0000 0.5000
Sn3 0.5000 0.0000 0.0000
Zr1 0.5000 0.5000 0.5000

ΔE_f	0.3277	eV per atom
polymorph energy (0 for the lowest one)	0.000	eV/atom
density of states at the Fermi level	1.1759	states/eV/atom

Entry 3:
A relaxed structure of Zr12Sn6Rh, computed with PBE.

a = 7.9079 Å, b = 7.9079 Å, c = 7.9079 Å
α = 99.05°, β = 99.05°, γ = 99.05°
Positions (direct):
Zr1 0.4152 0.5294 0.2059
Sn1 0.8819 0.3239 0.6779
Zr2 0.0312 0.3331 0.0716
Zr3 0.0716 0.0312 0.3331
Zr4 0.9284 0.9688 0.6669
Zr5 0.5294 0.2059 0.4152
Zr6 0.2059 0.4152 0.5294
Zr7 0.5848 0.4706 0.7941
Zr8 0.3331 0.0716 0.0312
Sn2 0.6779 0.8819 0.3239
Zr9 0.6669 0.9284 0.9688
Sn3 0.3221 0.1181 0.6761
Sn4 0.3239 0.6779 0.8819
Zr10 0.7941 0.5848 0.4706
Zr11 0.4706 0.7941 0.5848
Sn5 0.1181 0.6761 0.3221
Zr12 0.9688 0.6669 0.9284
Rh1 0.0000 0.0000 0.0000
Sn6 0.6761 0.3221 0.1181

ΔE_f	-0.0997	eV per atom
density of states at the Fermi level	0.8408	states/eV/atom

Entry 4:
A relaxed structure of Zr2SnRh, computed with PBE.

a = 4.3075 Å, b = 4.2731 Å, c = 4.2731 Å
α = 90.00°, β = 90.00°, γ = 90.00°
Positions (direct):
Rh1 0.5000 0.0000 0.0000
Zr1 0.0000 0.0000 0.5000
Zr2 0.0000 0.5000 0.0000
Sn1 0.5000 0.5000 0.5000

ΔE_f	-0.5517	eV per atom
density of states at the Fermi level	0.8956	states/eV/atom

Q: What is the formula in the first record?
A: ZrSn2Rh3

Q: Which formula does entry 4 have?
A: Zr2SnRh

Q: Which value of density of states at the Fermi level does entry 4 give?
A: 0.8956 states/eV/atom